(1)
A geometry-optimized La3TbRh2 structure, computed with PBE.

```
La3TbRh2
1.0
-3.442 -0.014 -3.627
3.332 0.486 -3.164
0.635 -7.464 2.874
La Tb Rh
3 1 2
Direct
0.808 0.307 0.615
0.500 0.500 0.000
0.192 0.693 0.385
0.000 0.000 0.000
0.629 0.127 0.258
0.371 0.873 0.742
```

Properties
SG: C2/m (12)
Calculated formation energy (eV per atom): -0.5078
Calculated density (g/cm3): 7.73
Volume (Å³/atom): 28.0

---

(2)
A geometry-optimized CaDy2Ir structure, computed with PBE.

```
CaDy2Ir
1.0
-2.032 2.197 -1.821
-0.098 -2.288 -2.651
-7.688 -4.008 3.745
Ir Dy Ca
1 2 1
Direct
0.500 0.500 0.000
0.000 0.000 0.830
0.000 0.000 0.170
0.500 0.500 0.500
```

Properties
SG: P4/mmm (123)
Relative energy among the computed polymorphs (eV per atom): 0.012
Calculated formation energy (eV per atom): -0.4151
Calculated density (g/cm3): 7.98
Volume (Å³/atom): 29.0

---

(3)
A geometry-optimized Pa2BPt2Rh4 structure, computed with PBE.

```
Pa2BPt2Rh4
1.0
5.880 -0.015 -0.022
-2.836 5.151 0.022
-2.836 -1.789 4.830
Pt Rh Pa B
2 4 2 1
Direct
0.000 0.259 0.259
0.000 0.741 0.741
0.492 0.746 0.746
0.000 0.254 0.746
0.000 0.746 0.254
0.508 0.254 0.254
0.500 0.750 0.250
0.500 0.250 0.750
0.000 0.000 0.000
```

Properties
SG: I4/mmm (139)
Calculated formation energy (eV per atom): -0.9035
Calculated density (g/cm3): 14.51
Volume (Å³/atom): 16.2